16
Lattice="7.921 0.000 0.000 0.000 7.985 0.039 -3.960 -3.956 5.604" Properties=species:S:1:pos:R:3 comment="Tb3Pm4HoS8 PBE relaxed" raw_formation_energy_mev_per_atom=-2016.6 pbc="T T T"
S 1.993 1.962 5.592
S 3.960 3.952 2.790
S 0.000 0.076 2.853
Pm 3.960 0.000 0.000
Tb -1.980 2.014 2.822
Tb 1.980 2.014 2.822
S 5.953 2.066 0.051
S 3.960 0.076 2.870
Pm 1.980 -1.978 2.802
S 0.000 3.952 2.773
Ho 0.000 3.992 0.020
Pm -1.980 -1.978 2.802
S -1.993 1.962 5.592
Pm 0.000 0.000 0.000
Tb 3.960 3.992 0.020
S 1.968 2.066 0.051

***

4
Lattice="-0.357 -3.785 2.106 4.201 -0.819 -0.759 1.010 1.884 3.556" Properties=species:S:1:pos:R:3 comment="LaMn2Ag PBE relaxed" ef_ev_per_atom=0.40 pbc="T T T"
Ag 0.327 -0.951 2.831
La 2.605 0.532 1.398
Mn 1.922 -2.302 0.673
Mn 0.000 0.000 0.000

***

18
Lattice="-3.342 -4.642 2.701 5.477 -1.183 7.174 -1.616 6.194 11.037" Properties=species:S:1:pos:R:3 comment="Pr6Er2Pu PBE relaxed" ef_ev_per_atom=0.07 pbc="T T T"
Er 2.090 2.590 14.358
Pr 1.753 -1.712 11.516
Pr 4.584 -0.624 9.500
Pr -1.696 -1.516 10.088
Er -1.571 -2.222 6.555
Pu 1.935 3.311 17.912
Er 1.588 -0.963 15.034
Pr -0.770 1.538 16.301
Pr -0.202 4.338 12.104
Pr 1.289 -1.170 4.612
Pr -1.234 2.080 9.397
Pr 1.176 -0.437 8.098
Pr 2.215 1.884 10.824
Pr -4.065 0.992 11.413
Er -1.069 1.331 5.879
Pr 0.721 -3.970 8.809
Pu -1.415 -2.943 3.000
Pr -0.657 0.805 12.815

***

10
Lattice="4.066 0.000 3.974 -2.033 3.521 3.974 -2.033 -3.521 3.974" Properties=species:S:1:pos:R:3 comment="BeBiPt3 PBE relaxed" ef_ev_per_atom=-0.22 polymorph_energy_ev_per_atom=0.2079 pbc="T T T"
Bi 0.000 0.000 2.937
Pt -0.520 2.046 4.923
Pt 1.513 1.475 6.911
Be 0.000 0.000 5.921
Be 0.000 0.000 11.882
Bi 0.000 0.000 8.898
Pt 0.521 -2.048 6.911
Pt 2.032 -0.573 4.923
Pt -2.034 0.573 6.911
Pt -1.512 -1.474 4.923

***

8
Lattice="-6.075 -2.894 -1.494 2.680 -6.242 1.179 0.113 4.960 5.839" Properties=species:S:1:pos:R:3 comment="Tl2CdInSe4 PBE relaxed" raw_formation_energy_mev_per_atom=-403.1 pbc="T T T"
Tl -0.200 -2.740 6.112
Se -4.190 -3.970 0.501
Cd -2.446 -4.383 2.524
In -4.578 -1.066 4.775
Tl -0.748 0.185 2.680
Se 0.076 -4.987 1.761
Se -2.302 -2.067 3.909
Se 0.031 2.628 4.235

***

8
Lattice="3.278 0.000 0.000 0.000 4.096 0.000 0.000 0.000 5.939" Properties=species:S:1:pos:R:3 comment="HF PBE relaxed" polymorph_energy_ev_per_atom=0.0028 pbc="T T T"
H 3.175 1.110 4.454
F 0.612 2.282 4.454
H 0.103 2.986 1.485
F 0.612 3.861 1.485
F 2.666 0.234 4.454
H 0.103 3.158 4.454
F 2.666 1.814 1.485
H 3.175 0.938 1.485

***

5
Lattice="4.936 0.000 0.000 0.000 4.936 0.000 0.000 0.000 4.299" Properties=species:S:1:pos:R:3 comment="NaBeAsSe2 PBE relaxed" raw_formation_energy_mev_per_atom=-37.9 polymorph_energy_ev_per_atom=0.0000 pbc="T T T"
Se 0.000 2.468 0.000
Na 2.468 2.468 2.150
As 0.000 0.000 2.150
Se 2.468 0.000 0.000
Be 0.000 0.000 0.000

***

Calculated electronic total energy in order - -6.422 -6.130 -5.719 -5.370 -3.194 -4.207 -3.371 eV/atom